SrMg6 | GGA-PBE | optimized geometry

a b c (Å): 6.9331 6.9331 6.9331
angles (deg): 109.47 109.47 109.47
With the nearest neighbours (Å) after each atom.
Fractional positions:
1 Sr 0.0000 0.0000 0.0000  24 Mg 4.48
2 Mg 0.2500 0.5000 0.7500  4 Mg 2.83
3 Mg 0.2500 0.7500 0.5000  4 Mg 2.83
4 Mg 0.5000 0.2500 0.7500  4 Mg 2.83
5 Mg 0.5000 0.7500 0.2500  4 Mg 2.83
6 Mg 0.7500 0.2500 0.5000  4 Mg 2.83
7 Mg 0.7500 0.5000 0.2500  4 Mg 2.83

Results
The space-group type is No. 229. Its formation energy is 487 meV per atom. For the energy above the most stable polymorph in this dataset, the calculation gives 0.526 eV per atom.

=====

SrPm2Se4 | GGA-PBE | optimized geometry

a b c (Å): 7.2674 7.2674 14.3411
angles (deg): 90.00 90.00 146.22
With the nearest neighbours (Å) after each atom.
Fractional positions:
1 Sr 0.1128 0.8872 0.7500  6 Se 3.05-3.27
2 Sr 0.8872 0.1128 0.2500  6 Se 3.05-3.27
3 Pm 0.3659 0.6341 0.5699  6 Se 2.86-2.99
4 Pm 0.3659 0.6341 0.9301  6 Se 2.86-2.99
5 Pm 0.6341 0.3659 0.0699  6 Se 2.86-2.99
6 Pm 0.6341 0.3659 0.4301  6 Se 2.86-2.99
7 Se 0.0000 0.0000 0.0000  4 Pm 2.99
8 Se 0.0000 0.0000 0.5000  4 Pm 2.99
9 Se 0.2712 0.7288 0.1176  3 Pm 2.93-2.99, 2 Sr 3.27
10 Se 0.2712 0.7288 0.3824  3 Pm 2.93-2.99, 2 Sr 3.27
11 Se 0.4547 0.5453 0.7500  2 Pm 2.86, 2 Sr 3.05
12 Se 0.5453 0.4547 0.2500  2 Pm 2.86, 2 Sr 3.05
13 Se 0.7288 0.2712 0.6176  3 Pm 2.93-2.99, 2 Sr 3.27
14 Se 0.7288 0.2712 0.8824  3 Pm 2.93-2.99, 2 Sr 3.27

Results
The space-group type is No. 63. The value obtained for the uncorrected formation energy is -1.93 eV/atom. For the energy above the most stable polymorph in this dataset, the calculation gives 0.009 eV per atom.

=====

BaLi2CaHg | GGA-PBE | optimized geometry

a b c (Å): 5.4559 5.4559 5.8293
angles (deg): 90.00 90.00 90.00
With the nearest neighbours (Å) after each atom.
Fractional positions:
1 Ba 0.0000 0.0000 0.0000  4 Ca 3.86, 8 Li 3.99
2 Li 0.0000 0.5000 0.5000  2 Hg 2.73
3 Li 0.5000 0.0000 0.5000  2 Hg 2.73
4 Ca 0.5000 0.5000 0.0000  2 Hg 2.91
5 Hg 0.5000 0.5000 0.5000  4 Li 2.73, 2 Ca 2.91

Results
The space-group type is No. 123. Its formation energy is -88 meV per atom.

=====

What did the third record say?
BaLi2CaHg | GGA-PBE | optimized geometry

a b c (Å): 5.4559 5.4559 5.8293
angles (deg): 90.00 90.00 90.00
With the nearest neighbours (Å) after each atom.
Fractional positions:
1 Ba 0.0000 0.0000 0.0000  4 Ca 3.86, 8 Li 3.99
2 Li 0.0000 0.5000 0.5000  2 Hg 2.73
3 Li 0.5000 0.0000 0.5000  2 Hg 2.73
4 Ca 0.5000 0.5000 0.0000  2 Hg 2.91
5 Hg 0.5000 0.5000 0.5000  4 Li 2.73, 2 Ca 2.91

Results
The space-group type is No. 123. Its formation energy is -88 meV per atom.